# HoURe

An optimized crystal structure of HoURe (PBE, Alexandria).

Summary:
Energy relative to the elements in eV per atom: 0.38
Mass density in g/cm³: 13.814
Energy relative to the lowest polymorph listed for this composition in kcal/mol of atoms: 5.21
Symmetry: P4/nmm, No. 129
Uncorrected energy in eV per atom: -9.0605

a b c (Å): 4.444 4.444 7.172
angles (deg): 90.00 90.00 90.00
Each line ends with the local moment (μB).
Element x y z (fractional)
U (0.000, 0.500, 0.771)  1.60
Ho (0.500, 0.000, 0.689)  0.26
Re (0.500, 0.500, 0.000)  -0.18
Ho (0.000, 0.500, 0.311)  0.26
Re (0.000, 0.000, 0.000)  -0.18
U (0.500, 0.000, 0.229)  1.60